(1)
Compound: AgPb2Br
Source: the Alexandria database
Functional: GGA-PBE
Structure: optimized geometry

Lattice parameters (Å, degrees): 3.462 3.807 8.723 90.00 91.67 90.00
Space group P2/m (No. 10)
Inequivalent atoms, fractional coordinates:
Ag (0.000, 0.000, 0.000) (multiplicity 1)
Pb (0.481, 0.500, 0.784) (multiplicity 2)
Br (0.500, 0.000, 0.500) (multiplicity 1)

Summary:
Volume   114.9 Å³ per cell
N(E_F)   1.73 states/eV per cell
M_tot   0.000 μB/cell
ρ   8.7 Mg/m³
Formation energy from raw total energies   -0.132 eV/atom

=====

(2)
Compound: BeOsS2N
Source: the Alexandria database
Functional: GGA-PBE
Structure: optimized geometry

Lattice parameters (Å, degrees): 4.498 4.498 3.023 90.00 90.00 90.00
Space group P4/mmm (No. 123)
Inequivalent atoms, fractional coordinates:
Be (0.000, 0.000, 0.000) (multiplicity 1)
Os (0.500, 0.500, 0.500) (multiplicity 1)
S (0.000, 0.500, 0.000) (multiplicity 2)
N (0.000, 0.000, 0.500) (multiplicity 1)

Summary:
Volume   61.2 Å³ per cell
N(E_F)   4.71 states/eV per cell
M_tot   0.496 μB/cell
ρ   7.5 Mg/m³
Formation energy from raw total energies   0.955 eV/atom

=====

(3)
Compound: PmHo2Rh
Source: the Alexandria database
Functional: GGA-PBE
Structure: optimized geometry

Lattice parameters (Å, degrees): 3.8655 3.8655 27.2009 90.00 90.00 120.00
Space group R3m (No. 160, hexagonal axes)
Inequivalent atoms, fractional coordinates:
Pm (0.0000, 0.0000, 0.0000) (multiplicity 3)
Ho (0.0000, 0.0000, 0.2267) (multiplicity 3)
Ho (0.0000, 0.0000, 0.4439) (multiplicity 3)
Rh (0.0000, 0.0000, 0.8354) (multiplicity 3)

Summary:
Volume   352.0 Å³ per cell
N(E_F)   14.93 states/eV per cell
M_tot   0.003 μB/cell
ρ   8.2 Mg/m³
E   -0.20863 hartree per atom

=====

Q: What is the ρ in the second record?
A: 7.5 Mg/m³

=====

Q: Number 3 is which compound?
A: PmHo2Rh

=====

Q: Look up the ρ of the first one.
A: 8.7 Mg/m³